! LaPdPb, optimized geometry, DFT PBE; values from VASP
! - crystal system = hexagonal
! - volume (Å³/cell) = 230.3
! - E_tot (eV/f.u.) = -14.74
&SYSTEM
  ibrav = 0, nat = 9, ntyp = 3
/
ATOMIC_SPECIES
La 138.91 La.upf
Pb 207.20 Pb.upf
Pd 106.42 Pd.upf
CELL_PARAMETERS angstrom
8.5631 0.0000 0.0000
-4.2816 7.4159 0.0000
0.0000 0.0000 3.6260
ATOMIC_POSITIONS crystal
La 0.2969 0.0000 0.0000
La 0.0000 0.2969 0.0000
La 0.7031 0.7031 0.0000
Pb 0.6667 0.3333 0.0000
Pb 0.3333 0.6667 0.0000
Pb 0.0000 0.0000 0.5000
Pd 0.6393 0.0000 0.5000
Pd 0.3607 0.3607 0.5000
Pd 0.0000 0.6393 0.5000

=====

! CsNbHgTe3, optimized geometry, DFT PBE; values from VASP
! - crystal system = orthorhombic
! - volume (Å³/cell) = 426.7
! - E_tot (eV/f.u.) = -22.73
&SYSTEM
  ibrav = 0, nat = 12, ntyp = 4
/
ATOMIC_SPECIES
Cs 132.91 Cs.upf
Hg 200.59 Hg.upf
Nb 92.91 Nb.upf
Te 127.60 Te.upf
CELL_PARAMETERS angstrom
-4.3931 -4.6917 -6.0982
3.6603 0.8503 8.0237
-9.8835 3.9363 4.0916
ATOMIC_POSITIONS crystal
Cs 0.2417 0.7583 0.2500
Cs 0.7583 0.2417 0.7500
Hg 0.5479 0.4521 0.2500
Hg 0.4521 0.5479 0.7500
Nb 0.0000 0.0000 0.0000
Nb 0.0000 0.0000 0.5000
Te 0.6127 0.3873 0.0265
Te 0.9370 0.0630 0.2500
Te 0.6127 0.3873 0.4735
Te 0.3873 0.6127 0.5265
Te 0.0630 0.9370 0.7500
Te 0.3873 0.6127 0.9735

=====

! Cu3Ag, optimized geometry, DFT PBE; values from VASP
! - crystal system = orthorhombic
! - formation enthalpy at 0 K (eV per atom) = 0.072
! - volume (Å³/cell) = 106.8
! - E_tot (eV/f.u.) = -13.69
&SYSTEM
  ibrav = 0, nat = 8, ntyp = 2
/
ATOMIC_SPECIES
Ag 107.87 Ag.upf
Cu 63.55 Cu.upf
CELL_PARAMETERS angstrom
-1.8724 1.9033 7.4890
1.8724 -1.9033 7.4890
1.8724 1.9033 -7.4890
ATOMIC_POSITIONS crystal
Ag 0.8178 0.5678 0.2500
Ag 0.1822 0.4322 0.7500
Cu 0.3199 0.0699 0.2500
Cu 0.5567 0.3067 0.2500
Cu 0.0560 0.8060 0.2500
Cu 0.9440 0.1940 0.7500
Cu 0.4433 0.6933 0.7500
Cu 0.6801 0.9301 0.7500